[1]
ReNi2HRu: optimized geometry, PBE.

a = 3.697 Å, b = 3.697 Å, c = 3.883 Å
α = 90.00°, β = 90.00°, γ = 90.00°
Positions (direct):
Re 0.000 0.000 0.500
Ni 0.000 0.500 0.000
Ni 0.500 0.000 0.000
H 0.000 0.000 0.000
Ru 0.500 0.500 0.500

Values from the calculation:
* final energy: -0.2637 hartree per atom
* ΔE to the lowest computed polymorph: 0 meV per atom
* size of the total moment: 0.0 Bohr magnetons per cell
* volume: 53 Å³/cell
* calculated density: 12.7 g/cm3
* crystal system: tetragonal
* DOS(E_F): 0.65 states/eV/atom

[2]
ReNi2SbH: optimized geometry, PBE.

a = 3.769 Å, b = 4.258 Å, c = 3.769 Å
α = 90.00°, β = 90.00°, γ = 90.00°
Positions (direct):
Re 0.500 0.500 0.500
Ni 0.000 0.000 0.500
Ni 0.500 0.000 0.000
H 0.000 0.000 0.000
Sb 0.000 0.500 0.000

Values from the calculation:
* final energy: -0.2147 hartree per atom
* size of the total moment: 0.0 Bohr magnetons per cell
* volume: 60 Å³/cell
* calculated density: 11.7 g/cm3
* crystal system: tetragonal
* DOS(E_F): 1.01 states/eV/atom

[3]
ReSiNi2H: optimized geometry, PBE.

a = 3.609 Å, b = 3.609 Å, c = 3.916 Å
α = 90.00°, β = 90.00°, γ = 90.00°
Positions (direct):
Re 0.000 0.000 0.500
Si 0.500 0.500 0.500
H 0.000 0.000 0.000
Ni 0.000 0.500 0.000
Ni 0.500 0.000 0.000

Values from the calculation:
* final energy: -0.2438 hartree per atom
* size of the total moment: 0.0 Bohr magnetons per cell
* volume: 51 Å³/cell
* calculated density: 10.8 g/cm3
* crystal system: tetragonal
* DOS(E_F): 0.87 states/eV/atom

[4]
ReSi2NiH: optimized geometry, PBE.

a = 4.610 Å, b = 2.834 Å, c = 4.610 Å
α = 90.00°, β = 90.00°, γ = 90.00°
Positions (direct):
Re 0.500 0.500 0.500
Si 0.000 0.000 0.500
Si 0.500 0.000 0.000
H 0.000 0.500 0.000
Ni 0.000 0.000 0.000

Values from the calculation:
* final energy: -0.2209 hartree per atom
* size of the total moment: 0.0 Bohr magnetons per cell
* volume: 60 Å³/cell
* calculated density: 8.3 g/cm3
* crystal system: tetragonal
* DOS(E_F): 0.97 states/eV/atom

[5]
TaRe2NiH: optimized geometry, PBE.

a = 3.988 Å, b = 3.988 Å, c = 3.826 Å
α = 90.00°, β = 90.00°, γ = 90.00°
Positions (direct):
Re 0.000 0.500 0.000
Re 0.500 0.000 0.000
Ni 0.000 0.000 0.500
H 0.000 0.000 0.000
Ta 0.500 0.500 0.500

Values from the calculation:
* final energy: -0.3388 hartree per atom
* ΔE to the lowest computed polymorph: 0 meV per atom
* size of the total moment: 0.0 Bohr magnetons per cell
* volume: 61 Å³/cell
* calculated density: 16.7 g/cm3
* crystal system: tetragonal
* DOS(E_F): 0.54 states/eV/atom

[6]
Ta2ReNiH: optimized geometry, PBE.

a = 4.171 Å, b = 4.171 Å, c = 3.735 Å
α = 90.00°, β = 90.00°, γ = 90.00°
Positions (direct):
Re 0.000 0.000 0.500
Ni 0.500 0.500 0.500
H 0.000 0.000 0.000
Ta 0.000 0.500 0.000
Ta 0.500 0.000 0.000

Values from the calculation:
* final energy: -0.3345 hartree per atom
* ΔE to the lowest computed polymorph: 143 meV per atom
* size of the total moment: 0.0 Bohr magnetons per cell
* volume: 65 Å³/cell
* calculated density: 15.5 g/cm3
* crystal system: tetragonal
* DOS(E_F): 1.02 states/eV/atom

[7]
TaRe2NiH: optimized geometry, PBE.

a = 3.887 Å, b = 3.887 Å, c = 4.019 Å
α = 90.00°, β = 90.00°, γ = 90.00°
Positions (direct):
Re 0.000 0.500 0.000
Re 0.500 0.000 0.000
Ni 0.500 0.500 0.500
H 0.000 0.000 0.000
Ta 0.000 0.000 0.500

Values from the calculation:
* final energy: -0.3368 hartree per atom
* ΔE to the lowest computed polymorph: 55 meV per atom
* size of the total moment: 0.0 Bohr magnetons per cell
* volume: 61 Å³/cell
* calculated density: 16.8 g/cm3
* crystal system: tetragonal
* DOS(E_F): 0.65 states/eV/atom

[8]
Ta2ReNiH: optimized geometry, PBE.

a = 4.371 Å, b = 4.371 Å, c = 3.369 Å
α = 90.00°, β = 90.00°, γ = 90.00°
Positions (direct):
Re 0.500 0.500 0.500
Ni 0.000 0.000 0.500
H 0.000 0.000 0.000
Ta 0.000 0.500 0.000
Ta 0.500 0.000 0.000

Values from the calculation:
* final energy: -0.3397 hartree per atom
* ΔE to the lowest computed polymorph: 0 meV per atom
* size of the total moment: 0.0 Bohr magnetons per cell
* volume: 64 Å³/cell
* calculated density: 15.7 g/cm3
* crystal system: tetragonal
* DOS(E_F): 0.73 states/eV/atom

[9]
ReTc2NiH: optimized geometry, PBE.

a = 3.858 Å, b = 3.858 Å, c = 3.874 Å
α = 90.00°, β = 90.00°, γ = 90.00°
Positions (direct):
Re 0.000 0.000 0.500
Tc 0.000 0.500 0.000
Tc 0.500 0.000 0.000
H 0.000 0.000 0.000
Ni 0.500 0.500 0.500

Values from the calculation:
* final energy: -0.3065 hartree per atom
* ΔE to the lowest computed polymorph: 79 meV per atom
* size of the total moment: 0.0 Bohr magnetons per cell
* volume: 58 Å³/cell
* calculated density: 12.7 g/cm3
* crystal system: tetragonal
* DOS(E_F): 0.82 states/eV/atom

[10]
ReTcNi2H: optimized geometry, PBE.

a = 3.683 Å, b = 3.683 Å, c = 3.930 Å
α = 90.00°, β = 90.00°, γ = 90.00°
Positions (direct):
Re 0.500 0.500 0.500
Tc 0.000 0.000 0.500
H 0.000 0.000 0.000
Ni 0.000 0.500 0.000
Ni 0.500 0.000 0.000

Values from the calculation:
* final energy: -0.2744 hartree per atom
* ΔE to the lowest computed polymorph: 0 meV per atom
* size of the total moment: 0.0 Bohr magnetons per cell
* volume: 53 Å³/cell
* calculated density: 12.5 g/cm3
* crystal system: tetragonal
* DOS(E_F): 0.78 states/eV/atom

[11]
ReTcNi2H: optimized geometry, PBE.

a = 3.683 Å, b = 3.683 Å, c = 3.942 Å
α = 90.00°, β = 90.00°, γ = 90.00°
Positions (direct):
Re 0.000 0.000 0.500
Tc 0.500 0.500 0.500
H 0.000 0.000 0.000
Ni 0.000 0.500 0.000
Ni 0.500 0.000 0.000

Values from the calculation:
* final energy: -0.2736 hartree per atom
* ΔE to the lowest computed polymorph: 21 meV per atom
* size of the total moment: 0.0 Bohr magnetons per cell
* volume: 53 Å³/cell
* calculated density: 12.5 g/cm3
* crystal system: tetragonal
* DOS(E_F): 0.93 states/eV/atom

[12]
ReTc2NiH: optimized geometry, PBE.

a = 3.923 Å, b = 3.923 Å, c = 3.705 Å
α = 90.00°, β = 90.00°, γ = 90.00°
Positions (direct):
Re 0.500 0.500 0.500
Tc 0.000 0.500 0.000
Tc 0.500 0.000 0.000
H 0.000 0.000 0.000
Ni 0.000 0.000 0.500

Values from the calculation:
* final energy: -0.3094 hartree per atom
* ΔE to the lowest computed polymorph: 0 meV per atom
* size of the total moment: 0.0 Bohr magnetons per cell
* volume: 57 Å³/cell
* calculated density: 12.9 g/cm3
* crystal system: tetragonal
* DOS(E_F): 0.42 states/eV/atom

[13]
ReNi2TeH: optimized geometry, PBE.

a = 3.936 Å, b = 3.936 Å, c = 3.859 Å
α = 90.00°, β = 90.00°, γ = 90.00°
Positions (direct):
Re 0.000 0.000 0.500
Te 0.500 0.500 0.500
H 0.000 0.000 0.000
Ni 0.000 0.500 0.000
Ni 0.500 0.000 0.000

Values from the calculation:
* final energy: -0.2115 hartree per atom
* size of the total moment: 0.0 Bohr magnetons per cell
* volume: 60 Å³/cell
* calculated density: 12.0 g/cm3
* crystal system: tetragonal
* DOS(E_F): 0.49 states/eV/atom

[14]
TiReNi2H: optimized geometry, PBE.

a = 3.704 Å, b = 3.704 Å, c = 3.951 Å
α = 90.00°, β = 90.00°, γ = 90.00°
Positions (direct):
Re 0.000 0.000 0.500
Ti 0.500 0.500 0.500
H 0.000 0.000 0.000
Ni 0.000 0.500 0.000
Ni 0.500 0.000 0.000

Values from the calculation:
* final energy: -0.2651 hartree per atom
* ΔE to the lowest computed polymorph: 0 meV per atom
* size of the total moment: 0.0 Bohr magnetons per cell
* volume: 54 Å³/cell
* calculated density: 10.8 g/cm3
* crystal system: tetragonal
* DOS(E_F): 0.83 states/eV/atom

[15]
TiReNi2H: optimized geometry, PBE.

a = 3.654 Å, b = 3.654 Å, c = 4.021 Å
α = 90.00°, β = 90.00°, γ = 90.00°
Positions (direct):
Re 0.500 0.500 0.500
Ti 0.000 0.000 0.500
H 0.000 0.000 0.000
Ni 0.000 0.500 0.000
Ni 0.500 0.000 0.000

Values from the calculation:
* final energy: -0.2647 hartree per atom
* ΔE to the lowest computed polymorph: 11 meV per atom
* size of the total moment: 0.0 Bohr magnetons per cell
* volume: 54 Å³/cell
* calculated density: 10.9 g/cm3
* crystal system: tetragonal
* DOS(E_F): 0.95 states/eV/atom

[16]
ReNiHW2: optimized geometry, PBE.

a = 4.014 Å, b = 4.014 Å, c = 3.741 Å
α = 90.00°, β = 90.00°, γ = 90.00°
Positions (direct):
Re 0.500 0.500 0.500
H 0.000 0.000 0.000
W 0.000 0.500 0.000
W 0.500 0.000 0.000
Ni 0.000 0.000 0.500

Values from the calculation:
* final energy: -0.3457 hartree per atom
* size of the total moment: 0.0 Bohr magnetons per cell
* volume: 60 Å³/cell
* calculated density: 16.9 g/cm3
* crystal system: tetragonal
* DOS(E_F): 0.49 states/eV/atom

[17]
Re2NiHW: optimized geometry, PBE.

a = 3.977 Å, b = 3.736 Å, c = 3.977 Å
α = 90.00°, β = 90.00°, γ = 90.00°
Positions (direct):
Re 0.000 0.000 0.500
Re 0.500 0.000 0.000
H 0.000 0.000 0.000
W 0.500 0.500 0.500
Ni 0.000 0.500 0.000

Values from the calculation:
* final energy: -0.3426 hartree per atom
* size of the total moment: 0.0 Bohr magnetons per cell
* volume: 59 Å³/cell
* calculated density: 17.3 g/cm3
* crystal system: tetragonal
* DOS(E_F): 0.47 states/eV/atom

[18]
Y2ReNiH: optimized geometry, PBE.

a = 5.343 Å, b = 3.448 Å, c = 5.343 Å
α = 90.00°, β = 90.00°, γ = 90.00°
Positions (direct):
Y 0.000 0.000 0.500
Y 0.500 0.000 0.000
Re 0.000 0.000 0.000
H 0.000 0.500 0.000
Ni 0.500 0.500 0.500

Values from the calculation:
* final energy: -0.2352 hartree per atom
* size of the total moment: 0.0 Bohr magnetons per cell
* volume: 98 Å³/cell
* calculated density: 7.1 g/cm3
* crystal system: tetragonal
* DOS(E_F): 0.53 states/eV/atom

[19]
NiH2Rh: optimized geometry, PBE.

a = 3.552 Å, b = 3.552 Å, c = 3.552 Å
α = 60.00°, β = 60.00°, γ = 60.00°
Positions (direct):
Ni 0.000 0.000 0.000
Rh 0.500 0.500 0.500
H 0.250 0.250 0.250
H 0.750 0.750 0.750

Values from the calculation:
* final energy: -0.1670 hartree per atom
* size of the total moment: 0.3 Bohr magnetons per cell
* volume: 32 Å³/cell
* calculated density: 8.6 g/cm3
* crystal system: cubic
* DOS(E_F): 0.62 states/eV/atom

[20]
Ni3H6Rh: optimized geometry, PBE.

a = 2.745 Å, b = 7.003 Å, c = 6.879 Å
α = 105.45°, β = 89.69°, γ = 89.85°
Positions (direct):
Ni 0.751 0.487 0.828
Ni 0.249 0.513 0.172
Ni 0.750 0.681 0.523
Ni 0.250 0.319 0.477
Ni 0.752 0.162 0.105
Ni 0.248 0.838 0.895
H 0.749 0.455 0.575
H 0.251 0.545 0.425
H 0.740 0.912 0.097
H 0.260 0.088 0.903
H 0.752 0.391 0.039
H 0.248 0.609 0.961
H 0.745 0.713 0.275
H 0.255 0.287 0.725
H 0.733 0.111 0.426
H 0.267 0.889 0.574
H 0.750 0.721 0.781
H 0.250 0.279 0.219
Rh 0.735 0.085 0.696
Rh 0.265 0.915 0.304

Values from the calculation:
* final energy: -0.1644 hartree per atom
* ΔE to the lowest computed polymorph: 0 meV per atom
* size of the total moment: 0.0 Bohr magnetons per cell
* volume: 127 Å³/cell
* calculated density: 7.4 g/cm3
* crystal system: triclinic
* DOS(E_F): 0.29 states/eV/atom